Material: HfZrAs2
Method: DFT, GGA-PBE
State: relaxed

a = 4.7948 Å, b = 4.7948 Å, c = 4.7948 Å
α = 60.00°, β = 60.00°, γ = 60.00°
Last column: magnetic moment on the atom in μB.
Element x y z (fractional)
As: 0.2500 0.2500 0.2500  -0.05
As: 0.0000 0.0000 0.0000  -0.06
Hf: 0.5000 0.5000 0.5000  0.59
Zr: 0.7500 0.7500 0.7500  0.64

Properties
The calculation puts the energy above the lowest structure with this stoichiometry at 1035 meV/atom. Its symmetry is F-43m.


Material: Rb2PtC4I2N4
Method: DFT, GGA-PBE
State: relaxed

a = 7.4389 Å, b = 9.2784 Å, c = 9.1170 Å
α = 90.00°, β = 107.13°, γ = 90.00°
Element x y z (fractional)
N: 0.3109 0.5646 0.8162
N: 0.6891 0.4354 0.1838
N: 0.6793 0.0534 0.1602
N: 0.6891 0.0646 0.6838
N: 0.6793 0.4466 0.6602
N: 0.3207 0.5534 0.3398
N: 0.3207 0.9466 0.8398
N: 0.3109 0.9354 0.3162
C: 0.1994 0.9674 0.8952
C: 0.8006 0.4674 0.6048
C: 0.8075 0.0400 0.7982
C: 0.1925 0.9600 0.2018
C: 0.1994 0.5326 0.3952
C: 0.8075 0.4600 0.2982
C: 0.1925 0.5400 0.7018
C: 0.8006 0.0326 0.1048
I: 0.0915 0.2846 0.0296
I: 0.0915 0.2154 0.5296
I: 0.9085 0.7846 0.4704
I: 0.9085 0.7154 0.9704
Rb: 0.4773 0.7180 0.1175
Rb: 0.4773 0.7820 0.6175
Rb: 0.5227 0.2180 0.3825
Rb: 0.5227 0.2820 0.8825
Pt: 0.0000 0.5000 0.5000
Pt: 0.0000 0.0000 0.0000

Properties
The total energy is -6.407 eV/atom. Its symmetry is P2_1/c.


Material: NaLaCoAs
Method: DFT, GGA-PBE
State: relaxed

a = 4.8390 Å, b = 4.8390 Å, c = 4.8390 Å
α = 60.00°, β = 60.00°, γ = 60.00°
Element x y z (fractional)
La: 0.5000 0.5000 0.5000
Na: 0.7500 0.7500 0.7500
Co: 0.0000 0.0000 0.0000
As: 0.2500 0.2500 0.2500

Properties
The calculation puts the energy above the lowest structure with this stoichiometry at 214 meV/atom. Its symmetry is F-43m.


Material: BaHgSeO
Method: DFT, GGA-PBE
State: relaxed

a = 3.9741 Å, b = 6.4523 Å, c = 7.7872 Å
α = 90.00°, β = 75.22°, γ = 90.00°
Element x y z (fractional)
Ba: 0.1322 0.7500 0.7357
Ba: 0.8678 0.2500 0.2643
O: 0.0000 0.5000 0.0000
O: 0.0000 0.0000 0.0000
Hg: 0.5734 0.2500 0.8532
Hg: 0.4266 0.7500 0.1468
Se: 0.8018 0.7500 0.3963
Se: 0.1982 0.2500 0.6037

Properties
The total energy is -3.600 eV/atom. Its symmetry is Cmcm.


Material: BaHg2Au2
Method: DFT, GGA-PBE
State: relaxed

a = 5.0862 Å, b = 5.0862 Å, c = 6.4010 Å
α = 113.41°, β = 113.41°, γ = 90.00°
Element x y z (fractional)
Au: 0.7500 0.2500 0.5000
Au: 0.2500 0.7500 0.5000
Hg: 0.3665 0.3665 0.7330
Hg: 0.6335 0.6335 0.2670
Ba: 0.0000 0.0000 0.0000

Properties
The calculation puts the energy above the lowest structure with this stoichiometry at 52 meV/atom. Its symmetry is I4/mmm.


Material: MgZnNiB
Method: DFT, GGA-PBE
State: relaxed

a = 4.0342 Å, b = 4.0342 Å, c = 4.0342 Å
α = 60.00°, β = 60.00°, γ = 60.00°
Element x y z (fractional)
Zn: 0.7500 0.7500 0.7500
B: 0.0000 0.0000 0.0000
Mg: 0.5000 0.5000 0.5000
Ni: 0.2500 0.2500 0.2500

Properties
The calculation puts the energy above the lowest structure with this stoichiometry at 82 meV/atom. Its symmetry is F-43m.


Material: MoSe2
Method: DFT, GGA-PBE
State: relaxed

a = 7.5930 Å, b = 7.5930 Å, c = 7.5930 Å
α = 25.26°, β = 25.26°, γ = 25.26°
Element x y z (fractional)
Se: 0.2577 0.2577 0.2577
Se: 0.4091 0.4091 0.4091
Mo: 0.6667 0.6667 0.6667

Properties
The total energy is -6.617 eV/atom. Its symmetry is R3m.


Material: SrLi3Er2Pb3
Method: DFT, GGA-PBE
State: relaxed

a = 4.8197 Å, b = 4.8197 Å, c = 11.3836 Å
α = 90.00°, β = 90.00°, γ = 120.00°
Element x y z (fractional)
Pb: 0.3333 0.6667 0.8000
Pb: 0.6667 0.3333 0.5000
Pb: 0.3333 0.6667 0.2000
Er: 0.0000 0.0000 0.6597
Er: 0.0000 0.0000 0.3403
Li: 0.3333 0.6667 0.5000
Li: 0.6667 0.3333 0.2085
Li: 0.6667 0.3333 0.7915
Sr: 0.0000 0.0000 0.0000

Properties
The total energy is -3.551 eV/atom. Its symmetry is P-6m2.


| no. | V (Å³ per cell) |
| --- | --- |
| 1 | 78 |
| 2 | 601 |
| 3 | 80 |
| 4 | 193 |
| 5 | 137 |
| 6 | 46 |
| 7 | 70 |
| 8 | 229 |